1.
A geometry-optimized LiTaAsSe2 structure, computed with PBE.

Lattice parameters (Å, degrees): 4.588 4.588 4.391 90.00 90.00 90.00
Fractional positions:
Li  0.000  0.000  0.000
Se  0.500  0.000  0.000
Se  0.000  0.500  0.000
As  0.000  0.000  0.500
Ta  0.500  0.500  0.500

## Properties
SG = P4/mmm
total magnetic moment = 0.00 μB/f.u.
DOS at the Fermi energy = 5.73 states/eV per cell
mass density = 7.56 Mg/m³

***

2.
A geometry-optimized LiTaAsSe2 structure, computed with PBE.

Lattice parameters (Å, degrees): 5.054 5.054 5.059 90.00 90.00 90.00
Fractional positions:
As  0.000  0.000  0.500
Ta  0.000  0.000  0.000
Li  0.500  0.500  0.500
Se  0.500  0.000  0.000
Se  0.000  0.500  0.000

## Properties
SG = P4/mmm
total magnetic moment = 0.00 μB/f.u.
DOS at the Fermi energy = 0.50 states/eV per cell
mass density = 5.41 Mg/m³

***

Name the most stable of them. 2.